## ZrAg2Cl (PBE)

Data for a relaxed structure of ZrAg2Cl.

The theoretical density comes out at 5.6 g cm⁻³. For the magnetic moment, the calculation gives 0.00 Bohr magnetons per cell. As for the formation energy from raw total energies: -0.27 eV per atom. For the energy above the most stable polymorph in this dataset, the calculation gives 133.7 meV per atom. The calculation puts the total energy at -34.3 eV per cell.

It has space group Imm2 (No. 44), with a = 3.0606 Å, b = 4.6383 Å, c = 14.1842 Å, α = 90.00°, β = 90.00° and γ = 90.00°. The inequivalent atoms are Zr at (0.0000, 0.0000, 0.0000), Ag at (0.0000, 0.0000, 0.5758), Ag at (0.0000, 0.5000, 0.6854) and Cl at (0.0000, 0.5000, 0.3547).